[1]
## LaPF2 (PBEsol)

Data for an optimized crystal structure of LaPF2.

For the total moment, the calculation gives 0.00 μB per formula unit. The calculation puts the formation energy (no corrections) at -2.2724 eV/atom. As for the space-group type: No. 166. The calculation puts the energy above the most stable polymorph in this dataset at 0 meV per atom.

a b c (Å): 3.9610 3.9610 6.0761
angles (deg): 70.98 70.98 60.00
Fractional positions:
P (0.5000, 0.5000, 0.5000)
F (0.7027, 0.7027, 0.8918)
F (0.2973, 0.2973, 0.1082)
La (0.0000, 0.0000, 0.0000)



[2]
## BaCdTe2 (PBEsol)

Data for an optimized crystal structure of BaCdTe2.

For the total moment, the calculation gives 0.00 μB per formula unit. The calculation puts the formation energy (no corrections) at -0.7582 eV/atom. As for the space-group type: No. 123.

a b c (Å): 4.2046 5.4075 5.4075
angles (deg): 90.00 90.00 90.00
Fractional positions:
Te (0.0000, 0.0000, 0.5000)
Te (0.0000, 0.5000, 0.0000)
Ba (0.5000, 0.5000, 0.5000)
Cd (0.5000, 0.0000, 0.0000)



[3]
## Rb2Zr2Sb (PBEsol)

Data for an optimized crystal structure of Rb2Zr2Sb.

For the total moment, the calculation gives 0.00 μB per formula unit. The calculation puts the formation energy (no corrections) at 0.5566 eV/atom. As for the space-group type: No. 139.

a b c (Å): 3.8450 3.8450 12.8650
angles (deg): 98.59 98.59 90.00
Fractional positions:
Sb (0.0000, 0.0000, 0.0000)
Rb (0.3992, 0.3992, 0.7984)
Rb (0.6008, 0.6008, 0.2016)
Zr (0.2500, 0.7500, 0.5000)
Zr (0.7500, 0.2500, 0.5000)



[4]
## PrNiSnH2 (PBEsol)

Data for an optimized crystal structure of PrNiSnH2.

For the total moment, the calculation gives 0.00 μB per formula unit. As for the space-group type: No. 194. The total energy comes out at -5.046 eV per atom.

a b c (Å): 4.3425 4.3425 8.4669
angles (deg): 90.00 90.00 120.00
Fractional positions:
Pr (0.0000, 0.0000, 0.5000)
Pr (0.0000, 0.0000, 0.0000)
Ni (0.6667, 0.3333, 0.2500)
Ni (0.3333, 0.6667, 0.7500)
Sn (0.3333, 0.6667, 0.2500)
Sn (0.6667, 0.3333, 0.7500)
H (0.3333, 0.6667, 0.5623)
H (0.6667, 0.3333, 0.4377)
H (0.3333, 0.6667, 0.9377)
H (0.6667, 0.3333, 0.0623)



[5]
## LiNiSe4 (PBEsol)

Data for an optimized crystal structure of LiNiSe4.

For the total moment, the calculation gives 0.57 μB per formula unit. The calculation puts the formation energy (no corrections) at 0.5118 eV/atom. As for the space-group type: No. 216.

a b c (Å): 5.5791 5.5791 5.5791
angles (deg): 60.00 60.00 60.00
Each line ends with the local moment (μB).
Fractional positions:
Li (0.7500, 0.7500, 0.7500)  0.00
Ni (0.0000, 0.0000, 0.0000)  0.51
Se (0.3742, 0.3742, 0.3742)  0.01
Se (0.3742, 0.3742, 0.8773)  0.01
Se (0.8773, 0.3742, 0.3742)  0.01
Se (0.3742, 0.8773, 0.3742)  0.01



[6]
## PSe (PBEsol)

Data for an optimized crystal structure of PSe.

For the total moment, the calculation gives 0.00 μB per formula unit. The calculation puts the formation energy (no corrections) at -0.0267 eV/atom. As for the space-group type: No. 14. The calculation puts the energy above the most stable polymorph in this dataset at 0 meV per atom.

a b c (Å): 7.2884 10.8940 11.3085
angles (deg): 114.49 90.00 90.00
Fractional positions:
P (0.1273, 0.3263, 0.1918)
P (0.6273, 0.6737, 0.3082)
P (0.8727, 0.6737, 0.8082)
P (0.3727, 0.3263, 0.6918)
P (0.3049, 0.1733, 0.0487)
P (0.8049, 0.8267, 0.4513)
P (0.6951, 0.8267, 0.9513)
P (0.1951, 0.1733, 0.5487)
P (0.6921, 0.3279, 0.2579)
P (0.1921, 0.6721, 0.2421)
P (0.3079, 0.6721, 0.7421)
P (0.8079, 0.3279, 0.7579)
P (0.5037, 0.2260, 0.3400)
P (0.0037, 0.7740, 0.1600)
P (0.4963, 0.7740, 0.6600)
P (0.9963, 0.2260, 0.8400)
Se (0.2861, 0.3911, 0.3829)
Se (0.7861, 0.6089, 0.1171)
Se (0.7139, 0.6089, 0.6171)
Se (0.2139, 0.3911, 0.8829)
Se (0.3878, 0.0530, 0.1632)
Se (0.8878, 0.9470, 0.3368)
Se (0.6122, 0.9470, 0.8368)
Se (0.1122, 0.0530, 0.6632)
Se (0.5508, 0.3102, 0.0710)
Se (0.0508, 0.6898, 0.4290)
Se (0.4492, 0.6898, 0.9290)
Se (0.9492, 0.3102, 0.5710)
Se (0.9201, 0.1677, 0.1906)
Se (0.4201, 0.8323, 0.3094)
Se (0.0799, 0.8323, 0.8094)
Se (0.5799, 0.1677, 0.6906)



[7]
## CsLu2Cu3Se5 (PBEsol)

Data for an optimized crystal structure of CsLu2Cu3Se5.

For the total moment, the calculation gives 0.00 μB per formula unit. The calculation puts the formation energy (no corrections) at -1.1068 eV/atom. As for the space-group type: No. 63.

a b c (Å): 4.0174 7.4542 16.7971
angles (deg): 90.00 90.00 105.63
Fractional positions:
Cs (0.9394, 0.8788, 0.7500)
Cs (0.0606, 0.1212, 0.2500)
Lu (0.8072, 0.6144, 0.0918)
Lu (0.8072, 0.6144, 0.4082)
Lu (0.1928, 0.3856, 0.9082)
Lu (0.1928, 0.3856, 0.5918)
Cu (0.3455, 0.6909, 0.2500)
Cu (0.4162, 0.8325, 0.5318)
Cu (0.5838, 0.1675, 0.4682)
Cu (0.6545, 0.3091, 0.7500)
Cu (0.5838, 0.1675, 0.0318)
Cu (0.4162, 0.8325, 0.9682)
Se (0.7592, 0.5184, 0.2500)
Se (0.1694, 0.3388, 0.4294)
Se (0.2408, 0.4816, 0.7500)
Se (0.8306, 0.6612, 0.9294)
Se (0.8306, 0.6612, 0.5706)
Se (0.5620, 0.1240, 0.6137)
Se (0.4380, 0.8760, 0.3863)
Se (0.5620, 0.1240, 0.8863)
Se (0.4380, 0.8760, 0.1137)
Se (0.1694, 0.3388, 0.0706)



[8]
## YZnRe2 (PBEsol)

Data for an optimized crystal structure of YZnRe2.

For the total moment, the calculation gives 0.00 μB per formula unit. As for the space-group type: No. 6. The total energy comes out at -8.585 eV per atom.

a b c (Å): 2.9685 4.3279 5.3907
angles (deg): 90.00 101.44 90.00
Fractional positions:
Re (0.1054, 0.0000, 0.0376)
Re (0.7836, 0.5000, 0.1843)
Y (0.5137, 0.0000, 0.5281)
Zn (0.0973, 0.5000, 0.7499)



[9]
## SrLiCu2 (PBEsol)

Data for an optimized crystal structure of SrLiCu2.

For the total moment, the calculation gives 0.00 μB per formula unit. As for the space-group type: No. 166. The calculation puts the energy above the most stable polymorph in this dataset at 0 meV per atom.

a b c (Å): 4.2523 4.2523 5.7728
angles (deg): 68.39 68.39 60.00
Fractional positions:
Sr (0.0000, 0.0000, 0.0000)
Cu (0.1915, 0.1915, 0.4254)
Cu (0.8085, 0.8085, 0.5746)
Li (0.5000, 0.5000, 0.5000)



[10]
## MnNiAu (PBEsol)

Data for an optimized crystal structure of MnNiAu.

For the total moment, the calculation gives 3.91 μB per formula unit. As for the space-group type: No. 107. The total energy comes out at -6.574 eV per atom.

a b c (Å): 3.0651 3.0651 4.8068
angles (deg): 108.59 108.59 90.00
Each line ends with the local moment (μB).
Fractional positions:
Ni (0.6811, 0.6811, 0.3623)  0.42
Mn (0.3184, 0.3184, 0.6367)  3.40
Au (0.0005, 0.0005, 0.0010)  0.03



[11]
## BeP2Br (PBEsol)

Data for an optimized crystal structure of BeP2Br.

For the total moment, the calculation gives 0.00 μB per formula unit. The calculation puts the formation energy (no corrections) at 0.2455 eV/atom. As for the space-group type: No. 166.

a b c (Å): 3.4608 3.4608 6.6300
angles (deg): 74.87 74.87 60.00
Fractional positions:
P (0.2192, 0.2192, 0.3426)
P (0.7808, 0.7808, 0.6574)
Br (0.0000, 0.0000, 0.0000)
Be (0.5000, 0.5000, 0.5000)



[12]
## V3AsN (PBEsol)

Data for an optimized crystal structure of V3AsN.

For the total moment, the calculation gives 0.00 μB per formula unit. The calculation puts the formation energy (no corrections) at -0.8883 eV/atom. As for the space-group type: No. 63.

a b c (Å): 3.0652 5.2694 7.5071
angles (deg): 90.00 90.00 106.91
Fractional positions:
V (0.0405, 0.0810, 0.2500)
V (0.9595, 0.9190, 0.7500)
V (0.3754, 0.7508, 0.0485)
V (0.6246, 0.2492, 0.9515)
V (0.3754, 0.7508, 0.4515)
V (0.6246, 0.2492, 0.5485)
As (0.7412, 0.4824, 0.2500)
As (0.2588, 0.5176, 0.7500)
N (0.0000, 0.0000, 0.0000)
N (0.0000, 0.0000, 0.5000)



[13]
## K2LaMn (PBEsol)

Data for an optimized crystal structure of K2LaMn.

For the total moment, the calculation gives 4.56 μB per formula unit. As for the space-group type: No. 166. The calculation puts the energy above the most stable polymorph in this dataset at 0 meV per atom.

a b c (Å): 3.5688 3.5688 12.5677
angles (deg): 81.84 81.84 60.00
Each line ends with the local moment (μB).
Fractional positions:
K (0.2591, 0.2591, 0.2226)  -0.01
K (0.7409, 0.7409, 0.7774)  -0.01
La (0.5000, 0.5000, 0.5000)  0.06
Mn (0.0000, 0.0000, 0.0000)  4.16